No. 1
Ta4AgCl after structural relaxation. Source: the Alexandria database, functional GGA-PBEsol.

POSCAR file:
```
Ta4AgCl
1.0
0.000 3.855 3.855
3.855 0.000 3.855
3.855 3.855 0.000
Ta Ag Cl
4 1 1
Direct
0.123 0.123 0.123 Ta
0.123 0.123 0.630 Ta
0.123 0.630 0.123 Ta
0.630 0.123 0.123 Ta
0.750 0.750 0.750 Ag
0.500 0.500 0.500 Cl
```

Summary:
- N(E_F): 5.4 states/eV/cell
- SG: F-43m
- Total moment: 0.0 μB per cell
- Formation energy without anion corrections: 0.880 eV/atom
- Crystal system: cubic

=====

No. 2
FeBrF2 after structural relaxation. Source: the Alexandria database, functional GGA-PBEsol.

POSCAR file:
```
FeBrF2
1.0
-3.057 3.057 4.283
3.057 -3.057 4.283
3.057 3.057 -4.283
Fe Br F
2 2 4
Direct
0.375 0.625 0.750 Fe
0.625 0.375 0.250 Fe
0.125 0.875 0.250 Br
0.875 0.125 0.750 Br
0.000 0.500 0.500 F
0.500 0.000 0.000 F
0.500 0.500 0.000 F
0.500 0.500 0.500 F
```

Summary:
- N(E_F): 9.8 states/eV/cell
- Energy relative to the lowest polymorph listed for this composition: 0.000 eV/atom
- SG: I4_1/amd
- Total moment: 10.0 μB per cell
- Formation energy without anion corrections: -1.168 eV/atom
- Crystal system: tetragonal

=====

No. 3
SbSeI3 after structural relaxation. Source: the Alexandria database, functional GGA-PBEsol.

POSCAR file:
```
SbSeI3
1.0
5.871 0.000 0.000
0.000 5.871 0.000
0.000 0.000 5.871
Sb Se I
1 1 3
Direct
0.000 0.000 0.000 Sb
0.500 0.500 0.500 Se
0.000 0.000 0.500 I
0.000 0.500 0.000 I
0.500 0.000 0.000 I
```

Summary:
- N(E_F): 4.4 states/eV/cell
- SG: Pm-3m
- Total moment: 2.1 μB per cell
- Formation energy without anion corrections: 0.362 eV/atom
- Crystal system: cubic